Below is an optimized crystal structure of La2TlZn2, with properties calculated at the PBEsol level.

Properties
V = 252.5 Å³/cell
uncorrected energy = -3.62 eV/atom
E_form = -0.319 eV per atom

abc: 7.971 7.971 3.974
angles: 90.00 90.00 90.00
Space group P4/mbm (No. 127)
Asymmetric unit:
La (0.178, 0.322, 0.000) [4 per cell]
Tl (0.000, 0.000, 0.500) [2 per cell]
Zn (0.116, 0.616, 0.500) [4 per cell]

---

Below is an optimized crystal structure of K2LiP, with properties calculated at the PBEsol level.

Properties
V = 106.0 Å³/cell
uncorrected energy = -2.48 eV/atom
E_form = 0.026 eV per atom

abc: 4.639 4.639 4.926
angles: 90.00 90.00 90.00
Space group P4/mmm (No. 123)
Asymmetric unit:
K (0.000, 0.500, 0.000) [2 per cell]
Li (0.000, 0.000, 0.500) [1 per cell]
P (0.500, 0.500, 0.500) [1 per cell]

---

Below is an optimized crystal structure of Mg4CuNi, with properties calculated at the PBEsol level.

Properties
V = 305.3 Å³/cell
uncorrected energy = -3.02 eV/atom
E_form = -0.127 eV per atom

abc: 5.1424 5.1424 13.3326
angles: 90.00 90.00 120.00
Space group P6_222 (No. 180)
Asymmetric unit:
Mg (0.0000, 0.5000, 0.0530) [6 per cell]
Mg (0.1615, 0.3230, 0.5000) [6 per cell]
Cu (0.0000, 0.5000, 0.6667) [3 per cell]
Ni (0.0000, 0.0000, 0.0000) [3 per cell]

---

Below is an optimized crystal structure of MoP, with properties calculated at the PBEsol level.

Properties
V = 222.3 Å³/cell
uncorrected energy = -8.61 eV/atom
E_form = 0.173 eV per atom

abc: 6.058 6.058 6.058
angles: 90.00 90.00 90.00
Space group Fd-3m (No. 227, origin choice 2)
Asymmetric unit:
Mo (0.125, 0.125, 0.125) [8 per cell]
P (0.125, 0.125, 0.625) [8 per cell]

---

Below is an optimized crystal structure of BaSr, with properties calculated at the PBEsol level.

Properties
V = 437.7 Å³/cell
uncorrected energy = -1.99 eV/atom
relative energy among the computed polymorphs = 5.9 meV/atom
E_form = 0.004 eV per atom

abc: 4.773 6.769 13.547
angles: 90.00 90.00 90.00
Space group Imma (No. 74)
Asymmetric unit:
Ba (0.000, 0.250, 0.123) [4 per cell]
Sr (0.000, 0.250, 0.627) [4 per cell]

---

Below is an optimized crystal structure of Re3TcBi, with properties calculated at the PBEsol level.

Properties
V = 113.2 Å³/cell
uncorrected energy = -7.43 eV/atom
E_form = 3.684 eV per atom

abc: 4.838 4.838 4.838
angles: 90.00 90.00 90.00
Space group Pm-3m (No. 221)
Asymmetric unit:
Re (0.000, 0.000, 0.500) [3 per cell]
Tc (0.500, 0.500, 0.500) [1 per cell]
Bi (0.000, 0.000, 0.000) [1 per cell]

---

Below is an optimized crystal structure of TbGdP2O8, with properties calculated at the PBEsol level.

Properties
V = 291.2 Å³/cell
uncorrected energy = -9.14 eV/atom
E_form (uncorrected) = -3539.5 kJ/mol of formula units

abc: 6.936 6.936 6.053
angles: 90.00 90.00 90.00
Space group I-4m2 (No. 119)
Asymmetric unit:
Tb (0.000, 0.000, 0.000) [2 per cell]
Gd (0.000, 0.500, 0.250) [2 per cell]
P (0.000, 0.000, 0.500) [2 per cell]
P (0.000, 0.500, 0.750) [2 per cell]
O (0.000, 0.174, 0.340) [8 per cell]
O (0.000, 0.324, 0.908) [8 per cell]

---

Below is an optimized crystal structure of Si3Cl5, with properties calculated at the PBEsol level.

Properties
V = 324.2 Å³/cell
uncorrected energy = -3.47 eV/atom
E_form (uncorrected) = -48.7 kJ/mol of formula units

abc: 8.005 10.807 3.747
angles: 90.00 90.00 90.00
Space group Cmmm (No. 65)
Asymmetric unit:
Si (0.000, 0.000, 0.000) [2 per cell]
Si (0.000, 0.326, 0.500) [4 per cell]
Cl (0.000, 0.500, 0.000) [2 per cell]
Cl (0.208, 0.000, 0.500) [4 per cell]
Cl (0.250, 0.250, 0.000) [4 per cell]

---

Below is an optimized crystal structure of TaIn2Tc, with properties calculated at the PBEsol level.

Properties
V = 144.0 Å³/cell
uncorrected energy = -7.16 eV/atom
relative energy among the computed polymorphs = 61.4 meV/atom
E_form = 0.281 eV per atom

abc: 3.233 4.759 9.360
angles: 90.00 90.00 90.00
Space group Immm (No. 71)
Asymmetric unit:
Ta (0.000, 0.000, 0.000) [2 per cell]
In (0.000, 0.500, 0.239) [4 per cell]
Tc (0.000, 0.000, 0.500) [2 per cell]

---

Below is an optimized crystal structure of MnCuAu3, with properties calculated at the PBEsol level.

Properties
V = 108.1 Å³/cell
uncorrected energy = -4.04 eV/atom
E_form = 1.130 eV per atom

abc: 4.763 4.763 4.763
angles: 90.00 90.00 90.00
Space group Pm-3m (No. 221)
Asymmetric unit:
Mn (0.000, 0.000, 0.000) [1 per cell]
Cu (0.500, 0.500, 0.500) [1 per cell]
Au (0.000, 0.000, 0.500) [3 per cell]

---

Below is an optimized crystal structure of CaIn2Pb, with properties calculated at the PBEsol level.

Properties
V = 103.8 Å³/cell
uncorrected energy = -3.38 eV/atom
E_form = -0.360 eV per atom

abc: 4.603 4.603 4.898
angles: 90.00 90.00 90.00
Space group P4/mmm (No. 123)
Asymmetric unit:
Ca (0.000, 0.000, 0.000) [1 per cell]
In (0.000, 0.500, 0.500) [2 per cell]
Pb (0.500, 0.500, 0.000) [1 per cell]

---

Below is an optimized crystal structure of LuBiO3, with properties calculated at the PBEsol level.

Properties
V = 436.8 Å³/cell
uncorrected energy = -7.46 eV/atom
E_form (uncorrected) = -1195.9 kJ/mol of formula units

abc: 5.8585 5.8585 14.6965
angles: 90.00 90.00 120.00
Space group R3c (No. 161, hexagonal axes)
Asymmetric unit:
Lu (0.0000, 0.0000, 0.0000) [6 per cell]
Bi (0.0000, 0.0000, 0.2834) [6 per cell]
O (0.0802, 0.3663, 0.0618) [18 per cell]

---

Below is an optimized crystal structure of Ba2SrSe, with properties calculated at the PBEsol level.

Properties
V = 301.1 Å³/cell
uncorrected energy = -3.03 eV/atom
E_form (uncorrected) = -205.0 kJ/mol of formula units
relative energy among the computed polymorphs = 388.2 meV/atom

abc: 7.599 8.935 4.435
angles: 90.00 90.00 90.00
Space group Cmmm (No. 65)
Asymmetric unit:
Ba (0.250, 0.250, 0.000) [4 per cell]
Sr (0.000, 0.000, 0.500) [2 per cell]
Se (0.000, 0.500, 0.500) [2 per cell]

---

Below is an optimized crystal structure of PtBr3, with properties calculated at the PBEsol level.

Properties
V = 274.7 Å³/cell
uncorrected energy = -3.05 eV/atom
E_form (uncorrected) = 36.7 kJ/mol of formula units

abc: 3.8495 3.8495 21.4075
angles: 90.00 90.00 120.00
Space group R-3m (No. 166, hexagonal axes)
Asymmetric unit:
Pt (0.0000, 0.0000, 0.0000) [3 per cell]
Br (0.0000, 0.0000, 0.2708) [6 per cell]
Br (0.0000, 0.0000, 0.5000) [3 per cell]